Record 1
# Ba2Ac3Tl4 | Alexandria | PBE | relaxed
# * total magnetization: 0.00 μB/f.u.
# * final energy: -111.8 eV/cell
# * N(E_F): 9.18 states/eV/f.u.
# * energy of formation: -5.909 kcal/mol of atoms
data_Ba2Ac3Tl4
_space_group_name_H-M_alt 'C m c e'
_space_group_IT_number 64
_space_group_name_Hall '-C 2ac 2'
_cell_length_a 7.8285
_cell_length_b 20.0643
_cell_length_c 9.3710
_cell_angle_alpha 90.00
_cell_angle_beta 90.00
_cell_angle_gamma 90.00
loop_
_atom_site_label
_atom_site_fract_x
_atom_site_fract_y
_atom_site_fract_z
Ba1 0.0000 0.0983 0.0845
Ac1 0.0000 0.0000 0.5000
Ac2 0.2500 0.2313 0.7500
Tl1 0.0000 0.1700 0.4635
Tl2 0.2500 0.0641 0.7500

Record 2
# BaAc8Tl6 | Alexandria | PBE | relaxed
# * total magnetization: 0.00 μB/f.u.
# * final energy: -155.0 eV/cell
# * N(E_F): 22.30 states/eV/f.u.
# * energy of formation: -4.108 kcal/mol of atoms
data_BaAc8Tl6
_space_group_name_H-M_alt 'R -3'
_space_group_IT_number 148
_space_group_name_Hall '-R 3'
_cell_length_a 10.0810
_cell_length_b 10.0810
_cell_length_c 20.8595
_cell_angle_alpha 90.00
_cell_angle_beta 90.00
_cell_angle_gamma 120.00
loop_
_atom_site_label
_atom_site_fract_x
_atom_site_fract_y
_atom_site_fract_z
Ba1 0.0000 0.0000 0.0000
Ac1 0.0000 0.0000 0.3340
Ac2 0.0004 0.3318 0.8895
Tl1 0.0003 0.3398 0.0591

Record 3
# Ba4AcTl5 | Alexandria | PBE | relaxed
# * total magnetization: 0.00 μB/f.u.
# * final energy: -27.6 eV/cell
# * N(E_F): 9.27 states/eV/f.u.
# * energy of formation: -9.038 kcal/mol of atoms
data_Ba4AcTl5
_space_group_name_H-M_alt 'P 4/m m m'
_space_group_IT_number 123
_space_group_name_Hall '-P 4 2'
_cell_length_a 4.2469
_cell_length_b 4.2469
_cell_length_c 21.5662
_cell_angle_alpha 90.00
_cell_angle_beta 90.00
_cell_angle_gamma 90.00
loop_
_atom_site_label
_atom_site_fract_x
_atom_site_fract_y
_atom_site_fract_z
Ba1 0.0000 0.0000 0.1007
Ba2 0.0000 0.0000 0.3044
Ac1 0.0000 0.0000 0.5000
Tl1 0.5000 0.5000 0.0000
Tl2 0.5000 0.5000 0.2008
Tl3 0.5000 0.5000 0.4100

Record 4
# BaAcTl | Alexandria | PBE | relaxed
# * total magnetization: 0.00 μB/f.u.
# * final energy: -18.3 eV/cell
# * N(E_F): 3.43 states/eV/f.u.
# * excess energy over the best structure of this formula in the dataset: 2.8 meV per atom
# * energy of formation: -5.906 kcal/mol of atoms
data_BaAcTl
_space_group_name_H-M_alt 'P 4/n m m'
_space_group_IT_number 129
_cell_length_a 4.2194
_cell_length_b 4.2194
_cell_length_c 14.6054
_cell_angle_alpha 90.00
_cell_angle_beta 90.00
_cell_angle_gamma 90.00
loop_
_space_group_symop_operation_xyz
'x,y,z'
'-x,-y,-z'
'-y+1/2,x,z'
'y+1/2,-x,-z'
'-x+1/2,-y+1/2,z'
'x+1/2,y+1/2,-z'
'y,-x+1/2,z'
'-y,x+1/2,-z'
'x+1/2,-y,-z'
'-x+1/2,y,z'
'-y,-x,-z'
'y,x,z'
'-x,y+1/2,-z'
'x,-y+1/2,z'
'y+1/2,x+1/2,-z'
'-y+1/2,-x+1/2,z'
loop_
_atom_site_label
_atom_site_fract_x
_atom_site_fract_y
_atom_site_fract_z
Ba1 0.2500 0.2500 0.1288
Ac1 0.2500 0.2500 0.4098
Tl1 0.2500 0.2500 0.7181

Record 5
# BaAcTl6 | Alexandria | PBE | relaxed
# * total magnetization: 0.00 μB/f.u.
# * final energy: -45.0 eV/cell
# * N(E_F): 7.99 states/eV/f.u.
# * energy of formation: -6.500 kcal/mol of atoms
data_BaAcTl6
_space_group_name_H-M_alt 'A m m 2'
_space_group_IT_number 38
_cell_length_a 5.5607
_cell_length_b 7.3335
_cell_length_c 12.6633
_cell_angle_alpha 90.00
_cell_angle_beta 90.00
_cell_angle_gamma 90.00
loop_
_space_group_symop_operation_xyz
'x,y,z'
'-x,-y,z'
'-x,y,z'
'x,-y,z'
'x,y+1/2,z+1/2'
'-x,-y+1/2,z+1/2'
'-x,y+1/2,z+1/2'
'x,-y+1/2,z+1/2'
loop_
_atom_site_label
_atom_site_fract_x
_atom_site_fract_y
_atom_site_fract_z
Ba1 0.0000 0.0000 0.0000
Ac1 0.5000 0.0000 0.6679
Tl1 0.0000 0.0000 0.4915
Tl2 0.0000 0.2346 0.2552
Tl3 0.5000 0.0000 0.1783
Tl4 0.5000 0.2324 0.4120

Record 6
# Ba2AcTl | Alexandria | PBE | relaxed
# * total magnetization: 0.00 μB/f.u.
# * final energy: -31.6 eV/cell
# * N(E_F): 5.55 states/eV/f.u.
# * excess energy over the best structure of this formula in the dataset: 66.2 meV per atom
# * energy of formation: -1.206 kcal/mol of atoms
data_Ba2AcTl
_space_group_name_H-M_alt 'R 3 m'
_space_group_IT_number 160
_space_group_name_Hall 'R 3 -2"'
_cell_length_a 4.2117
_cell_length_b 4.2117
_cell_length_c 37.2054
_cell_angle_alpha 90.00
_cell_angle_beta 90.00
_cell_angle_gamma 120.00
loop_
_atom_site_label
_atom_site_fract_x
_atom_site_fract_y
_atom_site_fract_z
Ba1 0.0000 0.0000 0.0000
Ba2 0.0000 0.0000 0.1876
Ac1 0.0000 0.0000 0.4268
Tl1 0.0000 0.0000 0.5935

Record 7
# Ba3AcTl3 | Alexandria | PBE | relaxed
# * total magnetization: 0.00 μB/f.u.
# * final energy: -76.7 eV/cell
# * N(E_F): 5.55 states/eV/f.u.
# * energy of formation: -7.287 kcal/mol of atoms
data_Ba3AcTl3
_space_group_name_H-M_alt 'C m m m'
_space_group_IT_number 65
_space_group_name_Hall '-C 2 2'
_cell_length_a 11.6327
_cell_length_b 12.5085
_cell_length_c 8.3144
_cell_angle_alpha 90.00
_cell_angle_beta 90.00
_cell_angle_gamma 90.00
loop_
_atom_site_label
_atom_site_fract_x
_atom_site_fract_y
_atom_site_fract_z
Ba1 0.0000 0.2504 0.0000
Ba2 0.2104 0.0000 0.5000
Ba3 0.2487 0.5000 0.0000
Ac1 0.0000 0.2808 0.5000
Tl1 0.0000 0.5000 0.2544
Tl2 0.2500 0.2500 0.2701

Record 8
# Ba5Ac2Tl4 | Alexandria | PBE | relaxed
# * total magnetization: 0.00 μB/f.u.
# * final energy: -56.0 eV/cell
# * N(E_F): 13.75 states/eV/f.u.
# * energy of formation: -1.479 kcal/mol of atoms
data_Ba5Ac2Tl4
_space_group_name_H-M_alt 'C 1 2/m 1'
_space_group_IT_number 12
_cell_length_a 26.6317
_cell_length_b 4.1651
_cell_length_c 9.4403
_cell_angle_alpha 90.00
_cell_angle_beta 108.33
_cell_angle_gamma 90.00
loop_
_space_group_symop_operation_xyz
'x,y,z'
'-x,-y,-z'
'-x,y,-z'
'x,-y,z'
'x+1/2,y+1/2,z'
'-x+1/2,-y+1/2,-z'
'-x+1/2,y+1/2,-z'
'x+1/2,-y+1/2,z'
loop_
_atom_site_label
_atom_site_fract_x
_atom_site_fract_y
_atom_site_fract_z
Ba1 0.0000 0.0000 0.0000
Ba2 0.1241 0.5000 0.3178
Ba3 0.1550 0.5000 0.9086
Ac1 0.2270 0.0000 0.6443
Tl1 0.0094 0.5000 0.6842
Tl2 0.0851 0.0000 0.5753